# GGA-PBE Li2TcBr, optimized geometry
# energy above the most stable polymorph in this dataset = 543 meV/atom
# uncorrected formation energy = 622 meV per atom
# V = 295.2 Å³/cell
data_Li2TcBr
_symmetry_space_group_name_H-M 'F m -3 m'
_symmetry_Int_Tables_number 225
_symmetry_space_group_name_Hall '-F 4 2 3'
_cell_length_a 6.658
_cell_length_b 6.658
_cell_length_c 6.658
_cell_angle_alpha 90.00
_cell_angle_beta 90.00
_cell_angle_gamma 90.00
loop_
_atom_site_label
_atom_site_fract_x
_atom_site_fract_y
_atom_site_fract_z
_atom_site_occupancy
Li1 0.250 0.250 0.250 1
Tc1 0.000 0.000 0.000 1
Br1 0.000 0.000 0.500 1


# GGA-PBE SiPAu, optimized geometry
# energy above the most stable polymorph in this dataset = 168 meV/atom
# uncorrected formation energy = -31 meV per atom
# V = 115.4 Å³/cell
data_SiPAu
_symmetry_space_group_name_H-M 'P 1 21/m 1'
_symmetry_Int_Tables_number 11
_cell_length_a 5.304
_cell_length_b 3.539
_cell_length_c 6.510
_cell_angle_alpha 90.00
_cell_angle_beta 109.24
_cell_angle_gamma 90.00
loop_
_symmetry_equiv_pos_as_xyz
'x,y,z'
'-x,-y,-z'
'-x,y+1/2,-z'
'x,-y+1/2,z'
loop_
_atom_site_label
_atom_site_fract_x
_atom_site_fract_y
_atom_site_fract_z
_atom_site_occupancy
Si1 0.182 0.250 0.215 1
P1 0.115 0.250 0.839 1
Au1 0.410 0.250 0.636 1


# GGA-PBE Tb2Pm6Pr3Er, optimized geometry
# energy of formation from the pure elements = 0.02 eV/atom
# V = 819.1 Å³/cell
data_Tb2Pm6Pr3Er
_symmetry_space_group_name_H-M 'C 1 2/m 1'
_symmetry_Int_Tables_number 12
_cell_length_a 6.311
_cell_length_b 10.933
_cell_length_c 12.058
_cell_angle_alpha 90.00
_cell_angle_beta 100.07
_cell_angle_gamma 90.00
loop_
_symmetry_equiv_pos_as_xyz
'x,y,z'
'-x,-y,-z'
'-x,y,-z'
'x,-y,z'
'x+1/2,y+1/2,z'
'-x+1/2,-y+1/2,-z'
'-x+1/2,y+1/2,-z'
'x+1/2,-y+1/2,z'
loop_
_atom_site_label
_atom_site_fract_x
_atom_site_fract_y
_atom_site_fract_z
_atom_site_occupancy
Tb1 0.000 0.167 0.000 1
Pm1 0.248 0.334 0.245 1
Pm2 0.249 0.000 0.245 1
Pr1 0.000 0.000 0.500 1
Pr2 0.000 0.333 0.500 1
Er1 0.000 0.500 0.000 1


# GGA-PBE Pm4HfP5, optimized geometry
# energy of formation from the pure elements = -1.45 eV/atom
# V = 467.7 Å³/cell
data_Pm4HfP5
_symmetry_space_group_name_H-M 'I 4/m m m'
_symmetry_Int_Tables_number 139
_symmetry_space_group_name_Hall '-I 4 2'
_cell_length_a 4.050
_cell_length_b 4.050
_cell_length_c 28.515
_cell_angle_alpha 90.00
_cell_angle_beta 90.00
_cell_angle_gamma 90.00
loop_
_atom_site_label
_atom_site_fract_x
_atom_site_fract_y
_atom_site_fract_z
_atom_site_occupancy
Pm1 0.000 0.000 0.098 1
Pm2 0.000 0.000 0.301 1
Hf1 0.000 0.000 0.500 1
P1 0.000 0.000 0.000 1
P2 0.000 0.000 0.199 1
P3 0.000 0.000 0.407 1


# GGA-PBE CoNiSe3, optimized geometry
# energy above the most stable polymorph in this dataset = 874 meV/atom
# uncorrected formation energy = 706 meV per atom
# V = 98.9 Å³/cell
data_CoNiSe3
_symmetry_space_group_name_H-M 'P m -3 m'
_symmetry_Int_Tables_number 221
_symmetry_space_group_name_Hall '-P 4 2 3'
_cell_length_a 4.624
_cell_length_b 4.624
_cell_length_c 4.624
_cell_angle_alpha 90.00
_cell_angle_beta 90.00
_cell_angle_gamma 90.00
loop_
_atom_site_label
_atom_site_fract_x
_atom_site_fract_y
_atom_site_fract_z
_atom_site_occupancy
Co1 0.000 0.000 0.000 1
Ni1 0.500 0.500 0.500 1
Se1 0.000 0.000 0.500 1


# GGA-PBE Ca2CdMo, optimized geometry
# energy of formation from the pure elements = 0.54 eV/atom
# V = 297.8 Å³/cell
data_Ca2CdMo
_symmetry_space_group_name_H-M 'R -3 m'
_symmetry_Int_Tables_number 166
_symmetry_space_group_name_Hall '-R 3 2"'
_cell_length_a 3.2652
_cell_length_b 3.2652
_cell_length_c 32.2556
_cell_angle_alpha 90.00
_cell_angle_beta 90.00
_cell_angle_gamma 120.00
loop_
_atom_site_label
_atom_site_fract_x
_atom_site_fract_y
_atom_site_fract_z
_atom_site_occupancy
Ca1 0.0000 0.0000 0.2423 1
Cd1 0.0000 0.0000 0.0000 1
Mo1 0.0000 0.0000 0.5000 1


# GGA-PBE KLaInSbO6, optimized geometry
# uncorrected formation energy = -1951 meV per atom
# V = 555.2 Å³/cell
data_KLaInSbO6
_symmetry_space_group_name_H-M 'F -4 3 m'
_symmetry_Int_Tables_number 216
_symmetry_space_group_name_Hall 'F -4 2 3'
_cell_length_a 8.219
_cell_length_b 8.219
_cell_length_c 8.219
_cell_angle_alpha 90.00
_cell_angle_beta 90.00
_cell_angle_gamma 90.00
loop_
_atom_site_label
_atom_site_fract_x
_atom_site_fract_y
_atom_site_fract_z
_atom_site_occupancy
K1 0.000 0.000 0.000 1
La1 0.000 0.000 0.500 1
In1 0.250 0.250 0.250 1
Sb1 0.250 0.250 0.750 1
O1 0.009 0.250 0.750 1


# GGA-PBE TbTmNiHg, optimized geometry
# energy of formation from the pure elements = -0.37 eV/atom
# V = 358.7 Å³/cell
data_TbTmNiHg
_symmetry_space_group_name_H-M 'F -4 3 m'
_symmetry_Int_Tables_number 216
_symmetry_space_group_name_Hall 'F -4 2 3'
_cell_length_a 7.105
_cell_length_b 7.105
_cell_length_c 7.105
_cell_angle_alpha 90.00
_cell_angle_beta 90.00
_cell_angle_gamma 90.00
loop_
_atom_site_label
_atom_site_fract_x
_atom_site_fract_y
_atom_site_fract_z
_atom_site_occupancy
Tb1 0.000 0.000 0.000 1
Tm1 0.000 0.000 0.500 1
Ni1 0.250 0.250 0.750 1
Hg1 0.250 0.250 0.250 1


# GGA-PBE ErZr3Rh4, optimized geometry
# energy of formation from the pure elements = -0.80 eV/atom
# V = 440.8 Å³/cell
data_ErZr3Rh4
_symmetry_space_group_name_H-M 'R -3 m'
_symmetry_Int_Tables_number 166
_symmetry_space_group_name_Hall '-R 3 2"'
_cell_length_a 4.6984
_cell_length_b 4.6984
_cell_length_c 23.0596
_cell_angle_alpha 90.00
_cell_angle_beta 90.00
_cell_angle_gamma 120.00
loop_
_atom_site_label
_atom_site_fract_x
_atom_site_fract_y
_atom_site_fract_z
_atom_site_occupancy
Er1 0.0000 0.0000 0.0000 1
Zr1 0.0000 0.0000 0.2496 1
Zr2 0.0000 0.0000 0.5000 1
Rh1 0.0000 0.0000 0.1285 1
Rh2 0.0000 0.0000 0.3788 1


# GGA-PBE AgTePd6, optimized geometry
# energy above the most stable polymorph in this dataset = 0 meV/atom
# uncorrected formation energy = -63 meV per atom
# V = 138.1 Å³/cell
data_AgTePd6
_symmetry_space_group_name_H-M 'P -1'
_symmetry_Int_Tables_number 2
_cell_length_a 4.982
_cell_length_b 5.270
_cell_length_c 5.372
_cell_angle_alpha 89.27
_cell_angle_beta 78.49
_cell_angle_gamma 87.29
loop_
_symmetry_equiv_pos_as_xyz
'x,y,z'
'-x,-y,-z'
loop_
_atom_site_label
_atom_site_fract_x
_atom_site_fract_y
_atom_site_fract_z
_atom_site_occupancy
Ag1 0.000 0.000 0.000 1
Te1 0.500 0.500 0.500 1
Pd1 0.009 0.509 0.244 1
Pd2 0.256 0.081 0.438 1
Pd3 0.486 0.254 0.935 1


# GGA-PBE Ac6Rh3Se2I, optimized geometry
# uncorrected formation energy = -1157 meV per atom
# V = 777.2 Å³/cell
data_Ac6Rh3Se2I
_symmetry_space_group_name_H-M 'C 1 2/m 1'
_symmetry_Int_Tables_number 12
_cell_length_a 20.210
_cell_length_b 4.325
_cell_length_c 9.433
_cell_angle_alpha 90.00
_cell_angle_beta 109.52
_cell_angle_gamma 90.00
loop_
_symmetry_equiv_pos_as_xyz
'x,y,z'
'-x,-y,-z'
'-x,y,-z'
'x,-y,z'
'x+1/2,y+1/2,z'
'-x+1/2,-y+1/2,-z'
'-x+1/2,y+1/2,-z'
'x+1/2,-y+1/2,z'
loop_
_atom_site_label
_atom_site_fract_x
_atom_site_fract_y
_atom_site_fract_z
_atom_site_occupancy
Ac1 0.008 0.000 0.216 1
Ac2 0.162 0.500 0.094 1
Ac3 0.181 0.500 0.570 1
Rh1 0.000 0.500 0.000 1
Rh2 0.166 0.000 0.329 1
Se1 0.164 0.000 0.826 1
I1 0.000 0.500 0.500 1


# GGA-PBE Nd2NbS6, optimized geometry
# uncorrected formation energy = -1225 meV per atom
# V = 487.1 Å³/cell
data_Nd2NbS6
_symmetry_space_group_name_H-M 'P 42/m n m'
_symmetry_Int_Tables_number 136
_symmetry_space_group_name_Hall '-P 4n 2n'
_cell_length_a 6.347
_cell_length_b 6.347
_cell_length_c 12.092
_cell_angle_alpha 90.00
_cell_angle_beta 90.00
_cell_angle_gamma 90.00
loop_
_atom_site_label
_atom_site_fract_x
_atom_site_fract_y
_atom_site_fract_z
_atom_site_occupancy
Nd1 0.000 0.000 0.172 1
Nb1 0.000 0.000 0.500 1
S1 0.191 0.191 0.356 1
S2 0.220 0.220 0.000 1


# GGA-PBE In6Bi2Pb, optimized geometry
# energy of formation from the pure elements = 0.02 eV/atom
# energy above the most stable polymorph in this dataset = 0 meV/atom
# V = 527.1 Å³/cell
data_In6Bi2Pb
_symmetry_space_group_name_H-M 'C 1 2/m 1'
_symmetry_Int_Tables_number 12
_cell_length_a 15.434
_cell_length_b 4.921
_cell_length_c 7.408
_cell_angle_alpha 90.00
_cell_angle_beta 110.48
_cell_angle_gamma 90.00
loop_
_symmetry_equiv_pos_as_xyz
'x,y,z'
'-x,-y,-z'
'-x,y,-z'
'x,-y,z'
'x+1/2,y+1/2,z'
'-x+1/2,-y+1/2,-z'
'-x+1/2,y+1/2,-z'
'x+1/2,-y+1/2,z'
loop_
_atom_site_label
_atom_site_fract_x
_atom_site_fract_y
_atom_site_fract_z
_atom_site_occupancy
In1 0.112 0.000 0.176 1
In2 0.170 0.500 0.505 1
In3 0.223 0.000 0.825 1
Bi1 0.062 0.500 0.845 1
Pb1 0.000 0.000 0.500 1


# GGA-PBE Sc2TlAu, optimized geometry
# energy of formation from the pure elements = 0.23 eV/atom
# V = 204.8 Å³/cell
data_Sc2TlAu
_symmetry_space_group_name_H-M 'I m m m'
_symmetry_Int_Tables_number 71
_symmetry_space_group_name_Hall '-I 2 2'
_cell_length_a 3.071
_cell_length_b 5.685
_cell_length_c 11.729
_cell_angle_alpha 90.00
_cell_angle_beta 90.00
_cell_angle_gamma 90.00
loop_
_atom_site_label
_atom_site_fract_x
_atom_site_fract_y
_atom_site_fract_z
_atom_site_occupancy
Sc1 0.000 0.000 0.233 1
Tl1 0.000 0.000 0.500 1
Au1 0.000 0.000 0.000 1


# GGA-PBE AgBiHPd2, optimized geometry
# energy above the most stable polymorph in this dataset = 0 meV/atom
# V = 77.6 Å³/cell
data_AgBiHPd2
_symmetry_space_group_name_H-M 'P 4/m m m'
_symmetry_Int_Tables_number 123
_symmetry_space_group_name_Hall '-P 4 2'
_cell_length_a 4.292
_cell_length_b 4.292
_cell_length_c 4.215
_cell_angle_alpha 90.00
_cell_angle_beta 90.00
_cell_angle_gamma 90.00
loop_
_atom_site_label
_atom_site_fract_x
_atom_site_fract_y
_atom_site_fract_z
_atom_site_occupancy
Ag1 0.000 0.000 0.000 1
Bi1 0.500 0.500 0.000 1
H1 0.000 0.000 0.500 1
Pd1 0.000 0.500 0.500 1


# GGA-PBE CsZnPb, optimized geometry
# energy of formation from the pure elements = -0.05 eV/atom
# V = 257.6 Å³/cell
data_CsZnPb
_symmetry_space_group_name_H-M 'P 1'
_symmetry_Int_Tables_number 1
_cell_length_a 5.025
_cell_length_b 7.641
_cell_length_c 7.710
_cell_angle_alpha 66.81
_cell_angle_beta 80.69
_cell_angle_gamma 71.35
loop_
_symmetry_equiv_pos_as_xyz
'x,y,z'
loop_
_atom_site_label
_atom_site_fract_x
_atom_site_fract_y
_atom_site_fract_z
_atom_site_occupancy
Cs1 0.000 0.000 0.000 1
Cs2 0.307 0.635 0.597 1
Zn1 0.017 0.273 0.467 1
Zn2 0.293 0.363 0.130 1
Pb1 0.593 0.111 0.474 1
Pb2 0.716 0.525 0.123 1


# GGA-PBE La3PSe, optimized geometry
# energy above the most stable polymorph in this dataset = 0 meV/atom
# uncorrected formation energy = -765 meV per atom
# V = 169.0 Å³/cell
data_La3PSe
_symmetry_space_group_name_H-M 'P m -3 m'
_symmetry_Int_Tables_number 221
_symmetry_space_group_name_Hall '-P 4 2 3'
_cell_length_a 5.528
_cell_length_b 5.528
_cell_length_c 5.528
_cell_angle_alpha 90.00
_cell_angle_beta 90.00
_cell_angle_gamma 90.00
loop_
_atom_site_label
_atom_site_fract_x
_atom_site_fract_y
_atom_site_fract_z
_atom_site_occupancy
La1 0.000 0.000 0.500 1
P1 0.000 0.000 0.000 1
Se1 0.500 0.500 0.500 1


# GGA-PBE Tm5Pd2Au2, optimized geometry
# energy of formation from the pure elements = -0.82 eV/atom
# V = 849.4 Å³/cell
data_Tm5Pd2Au2
_symmetry_space_group_name_H-M 'C m c e'
_symmetry_Int_Tables_number 64
_symmetry_space_group_name_Hall '-C 2ac 2'
_cell_length_a 15.111
_cell_length_b 7.405
_cell_length_c 7.591
_cell_angle_alpha 90.00
_cell_angle_beta 90.00
_cell_angle_gamma 90.00
loop_
_atom_site_label
_atom_site_fract_x
_atom_site_fract_y
_atom_site_fract_z
_atom_site_occupancy
Tm1 0.000 0.000 0.000 1
Tm2 0.135 0.172 0.330 1
Pd1 0.000 0.130 0.632 1
Au1 0.205 0.000 0.000 1


# GGA-PBE Hg2PSe, optimized geometry
# uncorrected formation energy = 30 meV per atom
# V = 223.3 Å³/cell
data_Hg2PSe
_symmetry_space_group_name_H-M 'P -1'
_symmetry_Int_Tables_number 2
_cell_length_a 5.270
_cell_length_b 5.816
_cell_length_c 8.351
_cell_angle_alpha 70.53
_cell_angle_beta 73.57
_cell_angle_gamma 70.58
loop_
_symmetry_equiv_pos_as_xyz
'x,y,z'
'-x,-y,-z'
loop_
_atom_site_label
_atom_site_fract_x
_atom_site_fract_y
_atom_site_fract_z
_atom_site_occupancy
Hg1 0.000 0.000 0.000 1
Hg2 0.000 0.000 0.500 1
Hg3 0.291 0.220 0.101 1
P1 0.170 0.334 0.537 1
Se1 0.477 0.411 0.278 1


# GGA-PBE BeMoPIr, optimized geometry
# energy of formation from the pure elements = -0.38 eV/atom
# energy above the most stable polymorph in this dataset = 92 meV/atom
# V = 101.3 Å³/cell
data_BeMoPIr
_symmetry_space_group_name_H-M 'A m m 2'
_symmetry_Int_Tables_number 38
_cell_length_a 3.714
_cell_length_b 3.319
_cell_length_c 8.217
_cell_angle_alpha 90.00
_cell_angle_beta 90.00
_cell_angle_gamma 90.00
loop_
_symmetry_equiv_pos_as_xyz
'x,y,z'
'-x,-y,z'
'-x,y,z'
'x,-y,z'
'x,y+1/2,z+1/2'
'-x,-y+1/2,z+1/2'
'-x,y+1/2,z+1/2'
'x,-y+1/2,z+1/2'
loop_
_atom_site_label
_atom_site_fract_x
_atom_site_fract_y
_atom_site_fract_z
_atom_site_occupancy
Be1 0.000 0.000 0.000 1
Mo1 0.500 0.000 0.560 1
P1 0.500 0.000 0.842 1
Ir1 0.000 0.000 0.284 1


Sequential DFT total energy output: -3.3449, -4.7345, -4.7055, -7.0505, -3.9619, -3.4017, -6.2146, -4.1633, -8.2470, -4.7065, -5.7587, -6.1554, -3.0787, -4.3493, -4.1400, -1.9957, -5.5008, -5.1871, -2.3441, -7.5909 eV/atom
Sequential magnetic moment output: 13.510, 0.000, 0.000, 0.000, 0.021, 0.000, 0.000, 0.001, 0.000, 0.000, 0.000, 0.002, 0.000, 0.001, 0.000, 0.000, 0.000, 0.000, 0.000, 0.000 μB per cell